DFT (PBE with a Hubbard U) results for an optimized crystal structure of NiTeN2F.

Properties
The polymorph energy (0 for the lowest one) is 356 meV/atom. Its density of states at the Fermi level is 2.671 states/eV per cell. The calculation puts the total energy at -3.804 eV per atom.

Lattice parameters (Å, degrees): 4.0995 4.0995 4.1584 90.00 90.00 90.00
Last column: nearest neighbours and their distance in Å.
Sites, in units of the cell vectors:
F 0.0000 0.0000 0.5000  2 Te 2.08
Te 0.0000 0.0000 0.0000  4 N 2.05, 2 F 2.08
Ni 0.5000 0.5000 0.5000  4 F 2.90, 8 N 2.92
N 0.5000 0.0000 0.0000  2 Te 2.05
N 0.0000 0.5000 0.0000  2 Te 2.05